This record from the Alexandria database describes crystalline Ce2TmSb at its relaxed geometry. The functional is PBE-GGA.

Results
Total magnetic moment in μB per formula unit: 0.90
Formation energy (no corrections) in kJ/mol of formula units: -197
Polymorph energy (0 for the lowest one) in meV per atom: 35
Raw total energy in eV per cell: -22.5

Cell lengths 4.5358, 4.5358, 5.1008 Å; angles 90.00, 90.00, 90.00 degrees
Fractional positions:
Ce  0.0000  0.5000  0.0000
Ce  0.5000  0.0000  0.0000
Tm  0.0000  0.0000  0.5000
Sb  0.5000  0.5000  0.5000

This record from the Alexandria database describes crystalline Ce3TmSb4 at its relaxed geometry. The functional is PBE-GGA.

Results
Total magnetic moment in μB per formula unit: 2.46
Formation energy (no corrections) in kJ/mol of formula units: -804
Polymorph energy (0 for the lowest one) in meV per atom: 0
Raw total energy in eV per cell: -47.1

Cell lengths 7.7183, 7.7183, 4.4658 Å; angles 90.00, 90.00, 109.52 degrees
Fractional positions:
Ce  0.0000  0.0000  0.0000
Ce  0.0000  0.5000  0.5000
Ce  0.5000  0.0000  0.5000
Tm  0.5000  0.5000  0.0000
Sb  0.2535  0.7465  0.0000
Sb  0.2567  0.2567  0.5000
Sb  0.7433  0.7433  0.5000
Sb  0.7465  0.2535  0.0000

This record from the Alexandria database describes crystalline Ce3TmSb4 at its relaxed geometry. The functional is PBE-GGA.

Results
Total magnetic moment in μB per formula unit: 2.58
Formation energy (no corrections) in kJ/mol of formula units: -798
Polymorph energy (0 for the lowest one) in meV per atom: 8
Raw total energy in eV per cell: -47.0

Cell lengths 6.3095, 6.3095, 6.3095 Å; angles 90.00, 90.00, 90.00 degrees
Fractional positions:
Ce  0.0000  0.0000  0.5000
Ce  0.0000  0.5000  0.0000
Ce  0.5000  0.0000  0.0000
Tm  0.5000  0.5000  0.5000
Sb  0.0000  0.0000  0.0000
Sb  0.0000  0.5000  0.5000
Sb  0.5000  0.0000  0.5000
Sb  0.5000  0.5000  0.0000

This record from the Alexandria database describes crystalline Ce4TmSb5 at its relaxed geometry. The functional is PBE-GGA.

Results
Total magnetic moment in μB per formula unit: 3.29
Formation energy (no corrections) in kJ/mol of formula units: -1001
Raw total energy in eV per cell: -59.2

Cell lengths 16.0931, 16.0931, 16.0931 Å; angles 164.02, 164.02, 22.67 degrees
Fractional positions:
Ce  0.0991  0.0991  0.0000
Ce  0.3009  0.3009  0.0000
Ce  0.6991  0.6991  0.0000
Ce  0.9009  0.9009  0.0000
Tm  0.5000  0.5000  0.0000
Sb  0.0000  0.0000  0.0000
Sb  0.1999  0.1999  0.0000
Sb  0.4022  0.4022  0.0000
Sb  0.5978  0.5978  0.0000
Sb  0.8001  0.8001  0.0000

This record from the Alexandria database describes crystalline Ce4TmSb6 at its relaxed geometry. The functional is PBE-GGA.

Results
Total magnetic moment in μB per formula unit: 1.77
Formation energy (no corrections) in kJ/mol of formula units: -951
Raw total energy in eV per cell: -125.6

Cell lengths 8.7187, 8.7187, 8.7187 Å; angles 88.48, 88.48, 88.48 degrees
Fractional positions:
Ce  0.1382  0.7500  0.3618
Ce  0.2500  0.2500  0.2500
Ce  0.2500  0.6382  0.8618
Ce  0.3618  0.1382  0.7500
Ce  0.6382  0.8618  0.2500
Ce  0.7500  0.3618  0.1382
Ce  0.7500  0.7500  0.7500
Ce  0.8618  0.2500  0.6382
Tm  0.0000  0.0000  0.0000
Tm  0.5000  0.5000  0.5000
Sb  0.0662  0.9213  0.6746
Sb  0.0787  0.3254  0.9338
Sb  0.1746  0.4213  0.5662
Sb  0.3254  0.9338  0.0787
Sb  0.4213  0.5662  0.1746
Sb  0.4338  0.8254  0.5787
Sb  0.5662  0.1746  0.4213
Sb  0.5787  0.4338  0.8254
Sb  0.6746  0.0662  0.9213
Sb  0.8254  0.5787  0.4338
Sb  0.9213  0.6746  0.0662
Sb  0.9338  0.0787  0.3254

This record from the Alexandria database describes crystalline Ce3Tm5Sb8 at its relaxed geometry. The functional is PBE-GGA.

Results
Total magnetic moment in μB per formula unit: 2.22
Formation energy (no corrections) in kJ/mol of formula units: -1630
Raw total energy in eV per cell: -90.0

Cell lengths 8.7909, 8.7909, 8.7909 Å; angles 60.10, 60.10, 60.10 degrees
Fractional positions:
Ce  0.0000  0.5000  0.5000
Ce  0.5000  0.0000  0.5000
Ce  0.5000  0.5000  0.0000
Tm  0.0000  0.0000  0.0000
Tm  0.0000  0.0000  0.5000
Tm  0.0000  0.5000  0.0000
Tm  0.5000  0.0000  0.0000
Tm  0.5000  0.5000  0.5000
Sb  0.2437  0.7500  0.7500
Sb  0.2466  0.2466  0.2466
Sb  0.2500  0.2500  0.7563
Sb  0.2500  0.7563  0.2500
Sb  0.7500  0.2437  0.7500
Sb  0.7500  0.7500  0.2437
Sb  0.7534  0.7534  0.7534
Sb  0.7563  0.2500  0.2500

This record from the Alexandria database describes crystalline CeTm8Sb6 at its relaxed geometry. The functional is PBE-GGA.

Results
Total magnetic moment in μB per formula unit: 1.39
Formation energy (no corrections) in kJ/mol of formula units: -983
Raw total energy in eV per cell: -76.6

Cell lengths 9.2643, 9.2643, 9.2643 Å; angles 51.47, 51.47, 51.47 degrees
Fractional positions:
Ce  0.0000  0.0000  0.0000
Tm  0.1270  0.7981  0.4415
Tm  0.2019  0.5585  0.8730
Tm  0.3338  0.3338  0.3338
Tm  0.4415  0.1270  0.7981
Tm  0.5585  0.8730  0.2019
Tm  0.6662  0.6662  0.6662
Tm  0.7981  0.4415  0.1270
Tm  0.8730  0.2019  0.5585
Sb  0.0661  0.4167  0.7256
Sb  0.2744  0.9339  0.5833
Sb  0.4167  0.7256  0.0661
Sb  0.5833  0.2744  0.9339
Sb  0.7256  0.0661  0.4167
Sb  0.9339  0.5833  0.2744

This record from the Alexandria database describes crystalline Ce2TmSb at its relaxed geometry. The functional is PBE-GGA.

Results
Total magnetic moment in μB per formula unit: 2.50
Formation energy (no corrections) in kJ/mol of formula units: -87
Polymorph energy (0 for the lowest one) in meV per atom: 322
Raw total energy in eV per cell: -21.4

Cell lengths 5.4288, 5.4288, 5.4288 Å; angles 60.00, 60.00, 60.00 degrees
Fractional positions:
Ce  0.2500  0.2500  0.2500
Ce  0.7500  0.7500  0.7500
Tm  0.0000  0.0000  0.0000
Sb  0.5000  0.5000  0.5000

This record from the Alexandria database describes crystalline CeTm2Sb3 at its relaxed geometry. The functional is PBE-GGA.

Results
Total magnetic moment in μB per formula unit: 0.74
Formation energy (no corrections) in kJ/mol of formula units: -610
Polymorph energy (0 for the lowest one) in meV per atom: 4
Raw total energy in eV per cell: -33.6

Cell lengths 7.6007, 7.6007, 7.6007 Å; angles 146.44, 131.72, 60.08 degrees
Fractional positions:
Ce  0.0000  0.0000  0.0000
Tm  0.3350  0.3350  0.0000
Tm  0.6650  0.6650  0.0000
Sb  0.1716  0.6716  0.5000
Sb  0.5000  0.0000  0.5000
Sb  0.8284  0.3284  0.5000

This record from the Alexandria database describes crystalline CeTm2Sb at its relaxed geometry. The functional is PBE-GGA.

Results
Total magnetic moment in μB per formula unit: 2.16
Formation energy (no corrections) in kJ/mol of formula units: -82
Polymorph energy (0 for the lowest one) in meV per atom: 244
Raw total energy in eV per cell: -19.9

Cell lengths 9.8532, 9.8532, 9.8532 Å; angles 23.06, 23.06, 23.06 degrees
Fractional positions:
Ce  0.0000  0.0000  0.0000
Tm  0.5662  0.5662  0.5662
Tm  0.7657  0.7657  0.7657
Sb  0.1656  0.1656  0.1656

This record from the Alexandria database describes crystalline CeTm5Sb4 at its relaxed geometry. The functional is PBE-GGA.

Results
Total magnetic moment in μB per formula unit: 0.85
Formation energy (no corrections) in kJ/mol of formula units: -614
Raw total energy in eV per cell: -51.1

Cell lengths 9.4983, 9.4983, 8.3401 Å; angles 105.78, 105.78, 26.23 degrees
Fractional positions:
Ce  0.0000  0.0000  0.0000
Tm  0.0000  0.0000  0.5000
Tm  0.3163  0.3163  0.6527
Tm  0.3406  0.3406  0.1870
Tm  0.6594  0.6594  0.8130
Tm  0.6837  0.6837  0.3473
Sb  0.1727  0.1727  0.0829
Sb  0.4864  0.4864  0.7316
Sb  0.5136  0.5136  0.2684
Sb  0.8273  0.8273  0.9171